[1]
Material: HgIr2I
Method: DFT, PBE
State: optimized geometry

It has space group Fm-3m (No. 225), with a = 6.684 Å, b = 6.684 Å, c = 6.684 Å, α = 90.00°, β = 90.00° and γ = 90.00°. Symmetry generates all atoms from Hg at (0.000, 0.000, 0.000), Ir at (0.250, 0.250, 0.250) and I at (0.000, 0.000, 0.500).

The calculation puts the mass density at 15.8 g/cm3. The calculation puts the energy above the lowest structure with this stoichiometry at 0 meV/atom. The value obtained for the density of states at the Fermi level is 16.442 states/eV per cell. The energy relative to the elements, uncorrected comes out at 1080 meV per atom. The calculated volume comes out at 18.7 A^3/atom.

[2]
Material: Ce3Dy5Se12
Method: DFT, PBE
State: optimized geometry

It has space group Ia-3d (No. 230), with a = 17.037 Å, b = 17.037 Å, c = 17.037 Å, α = 90.00°, β = 90.00° and γ = 90.00°. Symmetry generates all atoms from Ce at (0.000, 0.250, 0.125), Dy at (0.000, 0.000, 0.000), Dy at (0.000, 0.250, 0.375) and Se at (0.022, 0.068, 0.652).

The calculation puts the mass density at 5.9 g/cm3. The value obtained for the density of states at the Fermi level is 203.989 states/eV per cell. The energy relative to the elements, uncorrected comes out at -1686 meV per atom. The calculated volume comes out at 30.9 A^3/atom.

[3]
Material: LaPr3Er8
Method: DFT, PBE
State: optimized geometry

It has space group I-42m (No. 121), with a = 8.746 Å, b = 8.746 Å, c = 11.294 Å, α = 90.00°, β = 90.00° and γ = 90.00°. Symmetry generates all atoms from La at (0.000, 0.000, 0.000), Pr at (0.000, 0.000, 0.500), Pr at (0.000, 0.500, 0.250), Er at (0.125, 0.125, 0.751) and Er at (0.248, 0.248, 0.003).

Its formation energy is 625.8 meV per atom. The calculation puts the mass density at 7.3 g/cm3. The value obtained for the density of states at the Fermi level is 34.672 states/eV per cell. The calculated volume comes out at 36.0 A^3/atom.

[4]
Material: Pm2HoIn3
Method: DFT, PBE
State: optimized geometry

It has space group P-3m1 (No. 164), with a = 5.3909 Å, b = 5.3909 Å, c = 13.2385 Å, α = 90.00°, β = 90.00° and γ = 120.00°. Symmetry generates all atoms from Pm at (0.0000, 0.0000, 0.0000), Pm at (0.0000, 0.0000, 0.5000), Pm at (0.3333, 0.6667, 0.1696), Ho at (0.3333, 0.6667, 0.6668), In at (0.0000, 0.0000, 0.2527), In at (0.3333, 0.6667, 0.4183) and In at (0.3333, 0.6667, 0.9152).

Its formation energy is -478.2 meV per atom. The calculation puts the mass density at 8.0 g/cm3. The calculation puts the energy above the lowest structure with this stoichiometry at 6 meV/atom. The value obtained for the density of states at the Fermi level is 7.169 states/eV per cell. The calculated volume comes out at 27.8 A^3/atom.

[5]
Material: BaInBr6
Method: DFT, PBE
State: optimized geometry

It has space group P-1 (No. 2), with a = 7.183 Å, b = 7.322 Å, c = 7.346 Å, α = 63.72°, β = 63.97° and γ = 66.59°. Symmetry generates all atoms from Ba at (0.000, 0.000, 0.000), In at (0.500, 0.500, 0.500), Br at (0.202, 0.522, 0.327), Br at (0.271, 0.868, 0.569) and Br at (0.305, 0.290, 0.901).

The calculation puts the mass density at 4.0 g/cm3. The value obtained for the density of states at the Fermi level is 0.150 states/eV per cell. The energy relative to the elements, uncorrected comes out at -1084 meV per atom. The calculated volume comes out at 37.7 A^3/atom.

[6]
Material: Ho3Au2
Method: DFT, PBE
State: optimized geometry

It has space group Pnma (No. 62), with a = 11.373 Å, b = 3.740 Å, c = 12.274 Å, α = 90.00°, β = 90.00° and γ = 90.00°. Symmetry generates all atoms from Ho at (0.059, 0.250, 0.133), Ho at (0.132, 0.750, 0.544), Ho at (0.218, 0.250, 0.782), Au at (0.019, 0.750, 0.322) and Au at (0.179, 0.750, 0.975).

Its formation energy is -676.7 meV per atom. The calculation puts the mass density at 11.3 g/cm3. The calculation puts the energy above the lowest structure with this stoichiometry at 33 meV/atom. The value obtained for the density of states at the Fermi level is 16.911 states/eV per cell. The calculated volume comes out at 26.1 A^3/atom.

> What is the mass density in the second record?

5.9 g/cm3

> The lowest calculated volume belongs to which entry?

HgIr2I

> Which of these has the lowest calculated volume?

HgIr2I

> Which of these has the lowest calculated volume?

HgIr2I